# K2SnI, optimized geometry, DFT PBE-GGA
data_K2SnI
_space_group_name_H-M_alt 'F m -3 m'
_space_group_IT_number 225
_space_group_name_Hall '-F 4 2 3'
_cell_length_a 8.848
_cell_length_b 8.848
_cell_length_c 8.848
_cell_angle_alpha 90.00
_cell_angle_beta 90.00
_cell_angle_gamma 90.00
loop_
_atom_site_label
_atom_site_fract_x
_atom_site_fract_y
_atom_site_fract_z
K1 0.250 0.250 0.250
Sn1 0.000 0.000 0.000
I1 0.000 0.000 0.500
# Energy above the most stable polymorph in this dataset, eV/atom: 0.000
# N(E_F), states/eV/f.u.: 0.00
# Volume, Å³ per cell: 692.6